A geometry-optimized KBiW3 structure. Source: the Alexandria database, functional PBE.

Unit cell a=4.7153 b=4.7153 c=4.7153 alpha=90.00 beta=90.00 gamma=90.00
Space group Pm-3m (No. 221)
Inequivalent atoms, fractional coordinates:
K (0.0000, 0.0000, 0.0000) (multiplicity 1)
Bi (0.5000, 0.5000, 0.5000) (multiplicity 1)
W (0.0000, 0.0000, 0.5000) (multiplicity 3)

**DFT formation energy**: 3.618 eV/atom
**DOS(E_F)**: 6.47 states/eV per cell